Entry from Alexandria via LeMat-Bulk: a relaxed Cd5Ag6Sn crystal (PBE).

For the total energy, the calculation gives -2.1604 eV/atom. The value obtained for the offset from the most stable computed form is 5 meV per atom. The calculation puts the formation energy from the elements at -20 meV per atom.

The structure belongs to space group C2/m (No. 12); the cell edges are 8.761, 13.782 and 4.605 Å and the angles 90.00°, 121.22° and 90.00°. The inequivalent atoms are Cd at (0.000, 0.000, 0.000), Cd at (0.000, 0.166, 0.500), Cd at (0.000, 0.332, 0.000), Ag at (0.245, 0.000, 0.745), Ag at (0.248, 0.169, 0.248) and Sn at (0.000, 0.500, 0.500).